No. 1
This record from Alexandria describes a geometry-optimized SmHoMnRu structure. The functional is GGA-PBE.

Cell and atoms, written as POSCAR:
```
SmHoMnRu
1.0
4.942 0.000 0.000
2.471 4.280 0.000
2.471 1.427 4.035
Ru Sm Mn Ho
1 1 1 1
Cartesian
2.471 1.427 1.009
0.000 0.000 0.000
7.414 4.280 3.027
4.942 2.854 2.018
```

Properties
Formation energy: -23 meV/atom
Calculated density: 9.2 g cm⁻³
Space-group type: F-43m (216)


No. 2
This record from Alexandria describes a geometry-optimized Be2PtSe structure. The functional is GGA-PBE.

Cell and atoms, written as POSCAR:
```
Be2PtSe
1.0
5.172 0.000 0.000
0.000 5.172 0.000
2.586 2.586 5.093
Pt Se Be
2 2 4
Cartesian
0.000 0.000 0.000
5.172 2.586 2.546
2.586 2.586 0.000
2.586 5.172 2.546
1.288 3.879 1.273
6.465 6.470 3.820
3.884 1.293 1.273
3.879 3.875 3.820
```

Properties
Calculated density: 7.1 g cm⁻³
Space-group type: I-42d (122)
Raw formation energy: -0.30 eV per atom


No. 3
This record from Alexandria describes a geometry-optimized Ca2TiSi2 structure. The functional is GGA-PBE.

Cell and atoms, written as POSCAR:
```
Ca2TiSi2
1.0
-1.152 0.181 -6.842
-2.163 -6.592 0.190
-4.322 1.440 0.766
Si Ti Ca
4 2 4
Cartesian
-2.319 -5.691 -2.390
-0.995 -0.720 -4.262
-2.361 -3.971 -5.858
-0.953 -2.440 -0.794
-1.657 -3.206 -3.326
0.000 0.000 0.000
-4.722 -4.594 -4.081
-3.823 -3.700 -0.688
-3.813 -1.271 -5.198
-2.914 -0.377 -1.806
```

Properties
Relative energy among the computed polymorphs: 0 meV per atom
Calculated density: 2.7 g cm⁻³
Space-group type: P4/mbm (127)
Raw formation energy: -0.31 eV per atom


No. 4
This record from Alexandria describes a geometry-optimized Ba3NaAc2S6 structure. The functional is GGA-PBE.

Cell and atoms, written as POSCAR:
```
Ba3NaAc2S6
1.0
-5.447 -1.531 -5.127
6.182 -4.459 0.449
-3.632 -2.219 6.408
S Na Ac Ba
6 1 2 3
Cartesian
-0.250 -6.701 2.346
-0.294 -4.924 -1.973
-4.213 -5.704 0.445
-2.603 -3.286 3.703
1.316 -2.506 1.284
-2.647 -1.508 -0.616
0.000 0.000 0.000
-1.578 -2.505 -3.272
2.313 -3.485 -1.406
2.469 -5.091 2.744
-1.448 -4.105 0.865
-5.366 -3.118 -1.014
```

Properties
Calculated density: 4.9 g cm⁻³
Space-group type: C2/m (12)
Raw formation energy: -1.97 eV per atom


No. 5
This record from Alexandria describes a geometry-optimized SmEr7Tm5 structure. The functional is GGA-PBE.

Cell and atoms, written as POSCAR:
```
SmEr7Tm5
1.0
-6.094 2.029 1.664
-4.539 -6.081 4.021
-0.347 3.313 7.915
Er Tm Sm
7 5 1
Cartesian
-1.747 0.319 6.440
-5.585 0.008 5.993
-4.136 2.802 7.890
-2.766 -0.102 3.223
-6.888 -3.365 5.334
-3.185 -2.903 5.105
-5.214 -1.465 9.146
-3.431 2.592 4.547
-0.185 1.511 3.661
-8.258 -0.463 10.006
-2.103 -2.787 1.879
-5.349 -1.706 2.766
-6.053 1.865 2.015
```

Properties
Formation energy: 258 meV/atom
Calculated density: 8.6 g cm⁻³
Space-group type: Imm2 (44)


No. 6
This record from Alexandria describes a geometry-optimized Pm3Pd4 structure. The functional is GGA-PBE.

Cell and atoms, written as POSCAR:
```
Pm3Pd4
1.0
4.011 0.000 0.000
-2.005 5.287 0.000
0.000 -0.001 15.032
Pm Pd
6 8
Cartesian
0.000 0.713 11.279
2.005 1.717 1.443
2.005 4.598 3.762
0.000 3.592 8.959
0.000 3.593 13.598
2.005 1.720 6.083
2.005 3.085 11.279
0.000 3.999 1.570
0.000 4.003 5.955
0.000 0.013 7.521
2.005 1.311 13.471
2.005 1.309 9.087
0.000 2.227 3.763
0.000 0.012 0.005
```

Properties
Formation energy: -824 meV/atom
Relative energy among the computed polymorphs: 13 meV per atom
Calculated density: 9.0 g cm⁻³
Space-group type: Cmcm (63)


No. 7
This record from Alexandria describes a geometry-optimized YCu4Ge2 structure. The functional is GGA-PBE.

Cell and atoms, written as POSCAR:
```
YCu4Ge2
1.0
4.140 0.000 0.000
2.070 3.586 0.000
2.070 1.195 7.447
Cu Y Ge
4 1 2
Cartesian
2.070 1.195 4.302
4.140 2.390 5.135
6.211 3.586 3.145
4.140 2.390 2.312
0.000 0.000 0.000
2.070 1.195 1.804
6.211 3.586 5.643
```

Properties
Formation energy: -316 meV/atom
Relative energy among the computed polymorphs: 16 meV per atom
Calculated density: 7.3 g cm⁻³
Space-group type: R-3m (166)


No. 8
This record from Alexandria describes a geometry-optimized Ac3InPb2 structure. The functional is GGA-PBE.

Cell and atoms, written as POSCAR:
```
Ac3InPb2
1.0
4.938 0.000 0.000
0.000 13.249 0.000
0.000 0.000 13.656
Ac In Pb
12 4 8
Cartesian
1.235 0.799 11.923
3.704 8.234 12.990
3.704 2.649 3.906
3.704 3.976 10.734
1.235 9.273 2.922
1.235 5.016 0.666
3.704 11.640 6.162
1.235 10.601 9.750
1.235 5.826 5.095
3.704 7.423 8.561
3.704 12.451 1.733
1.235 1.609 7.494
3.704 11.484 11.842
1.235 1.765 1.814
1.235 4.859 8.642
3.704 8.390 5.014
1.235 9.115 6.744
1.235 6.785 11.116
1.235 10.759 13.573
1.235 13.089 4.288
3.704 0.160 9.368
3.704 6.464 2.540
3.704 2.490 0.084
3.704 4.134 6.912
```

Properties
Formation energy: -467 meV/atom
Relative energy among the computed polymorphs: 0 meV per atom
Calculated density: 9.0 g cm⁻³
Space-group type: Pnma (62)